This record from Alexandria describes an optimized crystal structure of Sr2CoTcF. The functional is PBE with a Hubbard U.

a b c (Å): 6.051 6.051 4.104
angles (deg): 90.00 90.00 90.00
Fractional positions:
Sr1 0.000 0.500 0.000
Sr2 0.500 0.000 0.000
Co1 0.000 0.000 0.500
Tc1 0.500 0.500 0.000
F1 0.500 0.500 0.500

Calculated values
Raw total energy, eV per atom: -3.74
Total moment, μB/f.u.: 4.16
Density, g/cm3: 3.88